[1]
First-principles (GGA-PBE) data for a relaxed structure of SrY2Rh2, as listed in the Alexandria database.

Results
Formation enthalpy at 0 K in eV per atom: -0.536
Space group: P4/mbm, No. 127
Total moment in μB per cell: 0.0
N(E_F) in states/eV per atom: 0.601
Energy above the lowest structure with this stoichiometry in meV per atom: 0

Cell lengths 8.248, 8.248, 3.561 Å; angles 90.00, 90.00, 90.00 degrees
Element x y z (fractional)
Sr  0.000  0.000  0.000
Sr  0.500  0.500  0.000
Y  0.145  0.355  0.500
Y  0.355  0.855  0.500
Y  0.645  0.145  0.500
Y  0.855  0.645  0.500
Rh  0.144  0.644  0.000
Rh  0.356  0.144  0.000
Rh  0.644  0.856  0.000
Rh  0.856  0.356  0.000

---

[2]
First-principles (GGA-PBE) data for a relaxed structure of Sr2YRh, as listed in the Alexandria database.

Results
Formation enthalpy at 0 K in eV per atom: 0.333
Space group: Fm-3m, No. 225
Total moment in μB per cell: 0.0
N(E_F) in states/eV per atom: 1.370
Energy above the lowest structure with this stoichiometry in meV per atom: 625

Cell lengths 5.526, 5.526, 5.526 Å; angles 60.00, 60.00, 60.00 degrees
Element x y z (fractional)
Sr  0.250  0.250  0.250
Sr  0.750  0.750  0.750
Y  0.000  0.000  0.000
Rh  0.500  0.500  0.500

---

[3]
First-principles (GGA-PBE) data for a relaxed structure of Sr3YRh, as listed in the Alexandria database.

Results
Formation enthalpy at 0 K in eV per atom: 0.081
Space group: Pm-3m, No. 221
Total moment in μB per cell: 0.0
N(E_F) in states/eV per atom: 0.226

Cell lengths 5.825, 5.825, 5.825 Å; angles 90.00, 90.00, 90.00 degrees
Element x y z (fractional)
Sr  0.000  0.000  0.500
Sr  0.000  0.500  0.000
Sr  0.500  0.000  0.000
Y  0.500  0.500  0.500
Rh  0.000  0.000  0.000

---

[4]
First-principles (GGA-PBE) data for a relaxed structure of Sr3YRh8, as listed in the Alexandria database.

Results
Formation enthalpy at 0 K in eV per atom: -0.382
Space group: R3m, No. 160
Total moment in μB per cell: 0.0
N(E_F) in states/eV per atom: 1.153

Cell lengths 9.452, 9.452, 9.452 Å; angles 33.47, 33.47, 33.47 degrees
Element x y z (fractional)
Sr  0.000  0.000  0.000
Sr  0.124  0.124  0.124
Sr  0.627  0.627  0.627
Y  0.500  0.500  0.500
Rh  0.062  0.062  0.558
Rh  0.062  0.558  0.062
Rh  0.069  0.563  0.563
Rh  0.313  0.313  0.313
Rh  0.558  0.062  0.062
Rh  0.563  0.069  0.563
Rh  0.563  0.563  0.069
Rh  0.813  0.813  0.813

---

[5]
First-principles (GGA-PBE) data for a relaxed structure of Sr2YRh, as listed in the Alexandria database.

Results
Formation enthalpy at 0 K in eV per atom: -0.291
Space group: Pm, No. 6
Total moment in μB per cell: 0.0
N(E_F) in states/eV per atom: 0.846
Energy above the lowest structure with this stoichiometry in meV per atom: 0

Cell lengths 4.128, 3.844, 9.281 Å; angles 90.00, 102.80, 90.00 degrees
Element x y z (fractional)
Sr  0.000  0.000  0.000
Sr  0.314  0.500  0.628
Y  0.668  0.000  0.336
Rh  0.141  0.500  0.284

---

[6]
First-principles (GGA-PBE) data for a relaxed structure of SrY2Rh2, as listed in the Alexandria database.

Results
Formation enthalpy at 0 K in eV per atom: -0.519
Space group: I4/mmm, No. 139
Total moment in μB per cell: 0.0
N(E_F) in states/eV per atom: 0.069
Energy above the lowest structure with this stoichiometry in meV per atom: 17

Cell lengths 6.824, 6.824, 6.824 Å; angles 139.74, 139.74, 58.25 degrees
Element x y z (fractional)
Sr  0.000  0.000  0.000
Y  0.250  0.750  0.500
Y  0.750  0.250  0.500
Rh  0.389  0.389  0.000
Rh  0.611  0.611  0.000

---

[7]
First-principles (GGA-PBE) data for a relaxed structure of SrY2Rh2, as listed in the Alexandria database.

Results
Formation enthalpy at 0 K in eV per atom: -0.307
Space group: I4/mmm, No. 139
Total moment in μB per cell: 0.0
N(E_F) in states/eV per atom: 0.784
Energy above the lowest structure with this stoichiometry in meV per atom: 229

Cell lengths 6.620, 6.620, 6.620 Å; angles 135.04, 135.04, 65.47 degrees
Element x y z (fractional)
Sr  0.000  0.000  0.000
Y  0.336  0.336  0.000
Y  0.664  0.664  0.000
Rh  0.250  0.750  0.500
Rh  0.750  0.250  0.500

---

[8]
First-principles (GGA-PBE) data for a relaxed structure of SrY3Rh, as listed in the Alexandria database.

Results
Formation enthalpy at 0 K in eV per atom: 1.535
Space group: Pm-3m, No. 221
Total moment in μB per cell: 0.0
N(E_F) in states/eV per atom: 2.032
Energy above the lowest structure with this stoichiometry in meV per atom: 1824

Cell lengths 5.343, 5.343, 5.343 Å; angles 90.00, 90.00, 90.00 degrees
Element x y z (fractional)
Sr  0.000  0.000  0.000
Y  0.000  0.000  0.500
Y  0.000  0.500  0.000
Y  0.500  0.000  0.000
Rh  0.500  0.500  0.500

---

[9]
First-principles (GGA-PBE) data for a relaxed structure of Sr2YRh, as listed in the Alexandria database.

Results
Formation enthalpy at 0 K in eV per atom: -0.003
Space group: I-42d, No. 122
Total moment in μB per cell: 0.0
N(E_F) in states/eV per atom: 0.322
Energy above the lowest structure with this stoichiometry in meV per atom: 288

Cell lengths 8.167, 8.167, 8.167 Å; angles 96.17, 96.17, 141.71 degrees
Element x y z (fractional)
Sr  0.375  0.014  0.139
Sr  0.764  0.625  0.639
Sr  0.875  0.236  0.861
Sr  0.986  0.125  0.361
Y  0.250  0.750  0.500
Y  0.500  0.500  0.000
Rh  0.000  0.000  0.000
Rh  0.750  0.250  0.500

---

[10]
First-principles (GGA-PBE) data for a relaxed structure of Sr2YRh, as listed in the Alexandria database.

Results
Formation enthalpy at 0 K in eV per atom: 0.053
Space group: Cmmm, No. 65
Total moment in μB per cell: 0.2
N(E_F) in states/eV per atom: 1.155
Energy above the lowest structure with this stoichiometry in meV per atom: 344

Cell lengths 3.612, 3.612, 9.920 Å; angles 90.00, 90.00, 90.52 degrees
Element x y z (fractional)
Sr  0.000  0.000  0.182
Sr  0.000  0.000  0.818
Y  0.500  0.500  0.500
Rh  0.500  0.500  0.000

---

[11]
First-principles (GGA-PBE) data for a relaxed structure of Sr2YRh, as listed in the Alexandria database.

Results
Formation enthalpy at 0 K in eV per atom: -0.189
Space group: Imm2, No. 44
Total moment in μB per cell: 0.0
N(E_F) in states/eV per atom: 0.795
Energy above the lowest structure with this stoichiometry in meV per atom: 102

Cell lengths 6.839, 6.839, 6.839 Å; angles 147.35, 127.16, 63.51 degrees
Element x y z (fractional)
Sr  0.000  0.000  0.000
Sr  0.683  0.183  0.500
Y  0.321  0.821  0.500
Rh  0.477  0.477  0.000

---

[12]
First-principles (GGA-PBE) data for a relaxed structure of SrYZnRh, as listed in the Alexandria database.

Results
Formation enthalpy at 0 K in eV per atom: -0.298
Space group: F-43m, No. 216
Total moment in μB per cell: 0.0
N(E_F) in states/eV per atom: 1.062

Cell lengths 5.098, 5.098, 5.098 Å; angles 60.00, 60.00, 60.00 degrees
Element x y z (fractional)
Sr  0.000  0.000  0.000
Y  0.500  0.500  0.500
Zn  0.750  0.750  0.750
Rh  0.250  0.250  0.250